*A*
Computed, not measured: an optimized crystal structure of Sn2GeTe3 at the PBE-GGA level of DFT.

Unit cell a=7.6947 b=7.6947 c=7.6947 alpha=146.61 beta=131.79 gamma=59.91
With the nearest neighbours (Å) after each atom.
Positions (direct):
Sn  0.1689  0.1689  0.0000  6 Te 3.15-3.22
Sn  0.8311  0.8311  0.0000  6 Te 3.15-3.22
Ge  0.5000  0.5000  0.0000  6 Te 3.03-3.14
Te  0.0000  0.5000  0.5000  2 Ge 3.14, 4 Sn 3.16
Te  0.3444  0.8444  0.5000  2 Ge 3.03, 4 Sn 3.15-3.22
Te  0.6556  0.1556  0.5000  2 Ge 3.03, 4 Sn 3.15-3.22

Output
Its space group is Immm (71).

=====

*B*
Computed, not measured: an optimized crystal structure of Sn2GeTe3 at the PBE-GGA level of DFT.

Unit cell a=4.4281 b=4.4281 c=10.8852 alpha=90.00 beta=90.00 gamma=120.00
With the nearest neighbours (Å) after each atom.
Positions (direct):
Sn  0.3333  0.6667  0.3260  6 Te 3.18-3.19
Sn  0.6667  0.3333  0.6740  6 Te 3.18-3.19
Ge  0.0000  0.0000  0.0000  6 Te 3.04
Te  0.0000  0.0000  0.5000  6 Sn 3.18
Te  0.3333  0.6667  0.8486  3 Ge 3.04, 3 Sn 3.19
Te  0.6667  0.3333  0.1514  3 Ge 3.04, 3 Sn 3.19

Output
Its space group is P-3m1 (164).

=====

Consider the structures shown above. The most stable of them is *B*.